The following is a DFT calculation (PBE-GGA) of a relaxed Ti2V7W2 crystal.

Calculated values
Total magnetization, μB/f.u.: 0.00
V, Å³ per cell: 163.1
Calculated density, g/cm³: 8.3
Fermi-level density of states, states/eV/atom: 1.245
Formation enthalpy at 0 K, eV/atom: 0.2158

a = 4.535 Å, b = 6.133 Å, c = 6.133 Å
α = 91.26°, β = 78.20°, γ = 78.20°
Element x y z (fractional)
Ti 0.500 0.217 0.783
Ti 0.500 0.783 0.217
V 0.151 0.071 0.597
V 0.849 0.403 0.929
V 0.849 0.929 0.403
V 0.151 0.597 0.071
V 0.000 0.000 0.000
V 0.639 0.774 0.774
V 0.361 0.226 0.226
W 0.794 0.408 0.408
W 0.206 0.592 0.592